Here is crystalline K3CdCu2Cl8 at its relaxed geometry from Alexandria via LeMat-Bulk. Energies are from PBE-GGA.

Unit cell a=7.195 b=7.195 c=8.969 alpha=90.00 beta=90.00 gamma=120.00
Atoms (fractional coordinates):
K  0.000  0.000  0.000
K  0.333  0.667  0.620
K  0.667  0.333  0.380
Cd  0.000  0.000  0.500
Cu  0.333  0.667  0.197
Cu  0.667  0.333  0.803
Cl  0.168  0.336  0.320
Cl  0.168  0.832  0.320
Cl  0.333  0.667  0.955
Cl  0.336  0.168  0.680
Cl  0.664  0.832  0.320
Cl  0.667  0.333  0.045
Cl  0.832  0.168  0.680
Cl  0.832  0.664  0.680

Calculated values
* symmetry: P-3m1
* total energy: -3.16 eV/atom
* mass density: 2.64 g/cm³

Here is crystalline RbBe2AlIn at its relaxed geometry from Alexandria via LeMat-Bulk. Energies are from PBE-GGA.

Unit cell a=4.836 b=4.836 c=5.678 alpha=90.00 beta=90.00 gamma=90.00
Atoms (fractional coordinates):
Rb  0.000  0.000  0.000
Be  0.000  0.500  0.500
Be  0.500  0.000  0.500
Al  0.500  0.500  0.000
In  0.500  0.500  0.500

Calculated values
* symmetry: P4/mmm
* mass density: 3.07 g/cm³
* formation energy from the elements: 0.92 eV per atom

Here is crystalline NdSmCdIr at its relaxed geometry from Alexandria via LeMat-Bulk. Energies are from PBE-GGA.

Unit cell a=7.319 b=7.319 c=7.319 alpha=90.00 beta=90.00 gamma=90.00
Atoms (fractional coordinates):
Nd  0.000  0.000  0.000
Nd  0.000  0.500  0.500
Nd  0.500  0.000  0.500
Nd  0.500  0.500  0.000
Sm  0.000  0.000  0.500
Sm  0.000  0.500  0.000
Sm  0.500  0.000  0.000
Sm  0.500  0.500  0.500
Cd  0.250  0.250  0.250
Cd  0.250  0.750  0.750
Cd  0.750  0.250  0.750
Cd  0.750  0.750  0.250
Ir  0.250  0.250  0.750
Ir  0.250  0.750  0.250
Ir  0.750  0.250  0.250
Ir  0.750  0.750  0.750

Calculated values
* symmetry: F-43m
* mass density: 10.15 g/cm³
* formation energy from the elements: -0.44 eV per atom